No. 1
Pm2Pr8Mg | PBE | relaxed

Output
**ΔH_f (0 K)**: 370 kJ/mol of formula units
**DOS(E_F)**: 1.3717 states/eV per atom
**Total DFT energy (no corrections)**: -45.5 eV/cell

a = 8.358 Å, b = 8.358 Å, c = 6.086 Å
α = 99.12°, β = 99.12°, γ = 87.04°
Positions (direct):
Pm 0.137 0.137 0.489
Pm 0.863 0.863 0.511
Pr 0.133 0.650 0.219
Pr 0.268 0.268 0.087
Pr 0.350 0.867 0.781
Pr 0.421 0.421 0.709
Pr 0.579 0.579 0.291
Pr 0.650 0.133 0.219
Pr 0.732 0.732 0.913
Pr 0.867 0.350 0.781
Mg 0.000 0.000 0.000


No. 2
Pm2PrMg5 | PBE | relaxed

Output
**ΔH_f (0 K)**: -77 kJ/mol of formula units
**DOS(E_F)**: 0.8924 states/eV per atom
**Total DFT energy (no corrections)**: -23.1 eV/cell

a = 8.671 Å, b = 8.671 Å, c = 8.671 Å
α = 144.35°, β = 144.35°, γ = 51.31°
Positions (direct):
Pm 0.239 0.239 0.000
Pm 0.761 0.761 0.000
Pr 0.500 0.500 0.000
Mg 0.000 0.000 0.000
Mg 0.119 0.619 0.500
Mg 0.381 0.881 0.500
Mg 0.619 0.119 0.500
Mg 0.881 0.381 0.500


No. 3
PmPr3Mg | PBE | relaxed

Output
**ΔH_f (0 K)**: 81 kJ/mol of formula units
**DOS(E_F)**: 1.1761 states/eV per atom
**Total DFT energy (no corrections)**: -39.7 eV/cell

a = 3.836 Å, b = 9.733 Å, c = 9.840 Å
α = 90.00°, β = 101.18°, γ = 90.00°
Positions (direct):
Pm 0.009 0.250 0.018
Pm 0.991 0.750 0.982
Pr 0.197 0.250 0.395
Pr 0.403 0.004 0.806
Pr 0.403 0.496 0.806
Pr 0.597 0.504 0.194
Pr 0.597 0.996 0.194
Pr 0.803 0.750 0.605
Mg 0.166 0.750 0.332
Mg 0.834 0.250 0.668


No. 4
Pm8Pr4Mg | PBE | relaxed

Output
**ΔH_f (0 K)**: 652 kJ/mol of formula units
**DOS(E_F)**: 1.9768 states/eV per atom
**Total DFT energy (no corrections)**: -52.0 eV/cell

a = 7.911 Å, b = 7.911 Å, c = 7.911 Å
α = 90.67°, β = 90.67°, γ = 90.67°
Positions (direct):
Pm 0.240 0.240 0.751
Pm 0.240 0.751 0.240
Pm 0.241 0.241 0.241
Pm 0.249 0.760 0.760
Pm 0.751 0.240 0.240
Pm 0.759 0.759 0.759
Pm 0.760 0.249 0.760
Pm 0.760 0.760 0.249
Pr 0.000 0.000 0.000
Pr 0.000 0.500 0.500
Pr 0.500 0.000 0.500
Pr 0.500 0.500 0.000
Mg 0.500 0.500 0.500